(1)
First-principles (GGA-PBE) data for a relaxed structure of TaAsSe, as listed in the Alexandria database.

Calculated values
Final energy   -6.141 eV per atom
Formation energy without anion corrections   0.5210 eV/atom
Crystal system   cubic

a b c (Å): 4.414 4.414 4.414
angles (deg): 60.00 60.00 60.00
Fractional positions:
Ta 0.000 0.000 0.000
As 0.500 0.500 0.500
Se 0.750 0.750 0.750

---

(2)
First-principles (GGA-PBE) data for a relaxed structure of ReSiPb2, as listed in the Alexandria database.

Calculated values
Final energy   -5.220 eV per atom
Formation energy without anion corrections   1.1017 eV/atom
Crystal system   tetragonal

a b c (Å): 4.928 4.928 3.475
angles (deg): 90.00 90.00 90.00
Fractional positions:
Re 0.000 0.000 0.000
Si 0.500 0.500 0.000
Pb 0.000 0.500 0.500
Pb 0.500 0.000 0.500

---

(3)
First-principles (GGA-PBE) data for a relaxed structure of Na3H7W, as listed in the Alexandria database.

Calculated values
Final energy   -3.758 eV per atom
Crystal system   monoclinic

a b c (Å): 5.582 5.582 5.499
angles (deg): 119.38 119.38 91.25
Fractional positions:
Na 0.000 0.000 0.000
Na 0.280 0.764 0.512
Na 0.764 0.280 0.512
H 0.222 0.655 0.956
H 0.228 0.228 0.860
H 0.338 0.338 0.535
H 0.599 0.849 0.036
H 0.655 0.222 0.956
H 0.676 0.676 0.445
H 0.849 0.599 0.036
W 0.517 0.517 0.994

---

(4)
First-principles (GGA-PBE) data for a relaxed structure of BeFeRe2, as listed in the Alexandria database.

Calculated values
Final energy   -9.190 eV per atom
Crystal system   orthorhombic

a b c (Å): 4.689 4.689 4.689
angles (deg): 140.83 128.02 66.97
Fractional positions:
Be 0.000 0.000 0.000
Fe 0.500 0.500 0.000
Re 0.243 0.743 0.500
Re 0.757 0.257 0.500

---

(5)
First-principles (GGA-PBE) data for a relaxed structure of Tb2Tc3Ni, as listed in the Alexandria database.

Calculated values
Final energy   -7.906 eV per atom
Crystal system   trigonal

a b c (Å): 5.498 5.498 5.498
angles (deg): 56.54 56.54 56.54
Fractional positions:
Tb 0.124 0.124 0.124
Tb 0.876 0.876 0.876
Tc 0.000 0.500 0.500
Tc 0.500 0.000 0.500
Tc 0.500 0.500 0.000
Ni 0.500 0.500 0.500

---

(6)
First-principles (GGA-PBE) data for a relaxed structure of SmPuPaGe, as listed in the Alexandria database.

Calculated values
Final energy   -8.274 eV per atom
Crystal system   cubic

a b c (Å): 5.135 5.135 5.135
angles (deg): 60.00 60.00 60.00
Fractional positions:
Sm 0.000 0.000 0.000
Pu 0.500 0.500 0.500
Pa 0.750 0.750 0.750
Ge 0.250 0.250 0.250

---

(7)
First-principles (GGA-PBE) data for a relaxed structure of VBi2Pt, as listed in the Alexandria database.

Calculated values
Final energy   -5.406 eV per atom
Crystal system   tetragonal
Relative energy among the computed polymorphs   36.2 meV/atom

a b c (Å): 9.642 9.642 9.642
angles (deg): 152.06 152.06 39.93
Fractional positions:
V 0.000 0.000 0.000
V 0.750 0.250 0.500
Bi 0.126 0.625 0.001
Bi 0.375 0.376 0.501
Bi 0.624 0.125 0.999
Bi 0.875 0.874 0.499
Pt 0.250 0.750 0.500
Pt 0.500 0.500 0.000

---

(8)
First-principles (GGA-PBE) data for a relaxed structure of Cd2PbW, as listed in the Alexandria database.

Calculated values
Final energy   -3.905 eV per atom
Crystal system   monoclinic

a b c (Å): 2.992 5.233 5.724
angles (deg): 90.00 104.73 90.00
Fractional positions:
Cd 0.178 0.000 0.273
Cd 0.822 0.000 0.727
Pb 0.500 0.500 0.000
W 0.000 0.500 0.500

---

(9)
First-principles (GGA-PBE) data for a relaxed structure of In2S2Br, as listed in the Alexandria database.

Calculated values
Final energy   -3.450 eV per atom
Formation energy without anion corrections   -0.3688 eV/atom
Crystal system   tetragonal
Relative energy among the computed polymorphs   140.1 meV/atom

a b c (Å): 6.412 6.412 6.412
angles (deg): 135.16 135.16 65.28
Fractional positions:
In 0.250 0.750 0.500
In 0.750 0.250 0.500
S 0.155 0.155 0.000
S 0.845 0.845 0.000
Br 0.500 0.500 0.000

---

(10)
First-principles (GGA-PBE) data for a relaxed structure of LiDy2Os, as listed in the Alexandria database.

Calculated values
Final energy   -5.379 eV per atom
Crystal system   trigonal
Relative energy among the computed polymorphs   445.4 meV/atom

a b c (Å): 10.192 10.192 10.192
angles (deg): 22.19 22.19 22.19
Fractional positions:
Li 0.000 0.000 0.000
Dy 0.116 0.116 0.116
Dy 0.884 0.884 0.884
Os 0.500 0.500 0.500

---

(11)
First-principles (GGA-PBE) data for a relaxed structure of PmAl3Zn2, as listed in the Alexandria database.

Calculated values
Final energy   -3.358 eV per atom
Crystal system   monoclinic
Relative energy among the computed polymorphs   5.3 meV/atom

a b c (Å): 8.203 8.203 6.797
angles (deg): 105.44 105.44 31.03
Fractional positions:
Pm 0.118 0.118 0.190
Pm 0.882 0.882 0.810
Al 0.067 0.067 0.681
Al 0.303 0.303 0.074
Al 0.374 0.374 0.488
Al 0.626 0.626 0.512
Al 0.697 0.697 0.926
Al 0.933 0.933 0.319
Zn 0.235 0.235 0.666
Zn 0.475 0.475 0.161
Zn 0.525 0.525 0.839
Zn 0.765 0.765 0.334

---

(12)
First-principles (GGA-PBE) data for a relaxed structure of NbCr, as listed in the Alexandria database.

Calculated values
Final energy   -9.747 eV per atom
Crystal system   tetragonal

a b c (Å): 3.089 3.089 6.283
angles (deg): 90.00 90.00 90.00
Fractional positions:
Nb 0.250 0.250 0.144
Nb 0.750 0.750 0.856
Cr 0.250 0.250 0.610
Cr 0.750 0.750 0.390